[1]
## RbTi3Ni (PBE)

Data for a relaxed structure of RbTi3Ni.

Cell and atoms, written as POSCAR:
```
RbTi3Ni
1.0
4.6427 0.0000 0.0000
0.0000 4.6427 0.0000
0.0000 0.0000 4.6427
Rb Ti Ni
1 3 1
direct
0.0000 0.0000 0.0000 Rb
0.0000 0.0000 0.5000 Ti
0.0000 0.5000 0.0000 Ti
0.5000 0.0000 0.0000 Ti
0.5000 0.5000 0.5000 Ni
```

Results
Offset from the most stable computed form, meV/atom: 1450
Fermi-level density of states, states/eV per cell: 9.06
Formation energy, eV per atom: 2.26
SG: Pm-3m (221)

[2]
## ZrVPd6 (PBE)

Data for a relaxed structure of ZrVPd6.

Cell and atoms, written as POSCAR:
```
ZrVPd6
1.0
3.9768 0.0000 0.0000
0.0000 3.9768 0.0000
0.0000 0.0000 7.9344
Zr V Pd
1 1 6
direct
0.0000 0.0000 0.0000 Zr
0.0000 0.0000 0.5000 V
0.0000 0.5000 0.2569 Pd
0.0000 0.5000 0.7431 Pd
0.5000 0.0000 0.2569 Pd
0.5000 0.0000 0.7431 Pd
0.5000 0.5000 0.0000 Pd
0.5000 0.5000 0.5000 Pd
```

Results
Fermi-level density of states, states/eV per cell: 4.90
Formation energy, eV per atom: -0.51
SG: P4/mmm (123)

[3]
## U3Nb5N12 (PBE)

Data for a relaxed structure of U3Nb5N12.

Cell and atoms, written as POSCAR:
```
U3Nb5N12
1.0
-6.4237 6.4237 6.4237
6.4237 -6.4237 6.4237
6.4237 6.4237 -6.4237
U Nb N
12 20 48
direct
0.1250 0.2500 0.3750 U
0.1250 0.3750 0.7500 U
0.2500 0.3750 0.1250 U
0.2500 0.8750 0.6250 U
0.3750 0.1250 0.2500 U
0.3750 0.7500 0.1250 U
0.6250 0.2500 0.8750 U
0.6250 0.8750 0.7500 U
0.7500 0.1250 0.3750 U
0.7500 0.6250 0.8750 U
0.8750 0.6250 0.2500 U
0.8750 0.7500 0.6250 U
0.0000 0.0000 0.0000 Nb
0.0000 0.0000 0.5000 Nb
0.0000 0.5000 0.0000 Nb
0.0000 0.5000 0.5000 Nb
0.1250 0.7500 0.8750 Nb
0.1250 0.8750 0.2500 Nb
0.2500 0.1250 0.8750 Nb
0.2500 0.6250 0.3750 Nb
0.3750 0.2500 0.6250 Nb
0.3750 0.6250 0.7500 Nb
0.5000 0.0000 0.0000 Nb
0.5000 0.0000 0.5000 Nb
0.5000 0.5000 0.0000 Nb
0.5000 0.5000 0.5000 Nb
0.6250 0.3750 0.2500 Nb
0.6250 0.7500 0.3750 Nb
0.7500 0.3750 0.6250 Nb
0.7500 0.8750 0.1250 Nb
0.8750 0.1250 0.7500 Nb
0.8750 0.2500 0.1250 Nb
0.0361 0.2136 0.1284 N
0.0361 0.3225 0.9076 N
0.0851 0.7136 0.6775 N
0.0851 0.8716 0.4076 N
0.0924 0.6284 0.4149 N
0.0924 0.9639 0.6775 N
0.1284 0.0361 0.2136 N
0.1284 0.5924 0.9149 N
0.1775 0.2136 0.5851 N
0.1775 0.4639 0.5924 N
0.2136 0.1284 0.0361 N
0.2136 0.5851 0.1775 N
0.2864 0.3225 0.9149 N
0.2864 0.4639 0.3716 N
0.3225 0.9076 0.0361 N
0.3225 0.9149 0.2864 N
0.3716 0.2864 0.4639 N
0.3716 0.5851 0.9076 N
0.4076 0.0851 0.8716 N
0.4076 0.8225 0.5361 N
0.4149 0.0924 0.6284 N
0.4149 0.8225 0.7864 N
0.4639 0.3716 0.2864 N
0.4639 0.5924 0.1775 N
0.5361 0.4076 0.8225 N
0.5361 0.6284 0.7136 N
0.5851 0.1775 0.2136 N
0.5851 0.9076 0.3716 N
0.5924 0.1775 0.4639 N
0.5924 0.9149 0.1284 N
0.6284 0.4149 0.0924 N
0.6284 0.7136 0.5361 N
0.6775 0.0851 0.7136 N
0.6775 0.0924 0.9639 N
0.7136 0.5361 0.6284 N
0.7136 0.6775 0.0851 N
0.7864 0.4149 0.8225 N
0.7864 0.8716 0.9639 N
0.8225 0.5361 0.4076 N
0.8225 0.7864 0.4149 N
0.8716 0.4076 0.0851 N
0.8716 0.9639 0.7864 N
0.9076 0.0361 0.3225 N
0.9076 0.3716 0.5851 N
0.9149 0.1284 0.5924 N
0.9149 0.2864 0.3225 N
0.9639 0.6775 0.0924 N
0.9639 0.7864 0.8716 N
```

Results
Fermi-level density of states, states/eV per cell: 77.58
Uncorrected formation energy, eV per atom: -0.97
SG: Ia-3d (230)

[4]
## In4PtRh (PBE)

Data for a relaxed structure of In4PtRh.

Cell and atoms, written as POSCAR:
```
In4PtRh
1.0
0.0000 4.0002 4.0002
4.0002 0.0000 4.0002
4.0002 4.0002 0.0000
In Pt Rh
4 1 1
direct
0.1251 0.1251 0.1251 In
0.1251 0.1251 0.6247 In
0.1251 0.6247 0.1251 In
0.6247 0.1251 0.1251 In
0.7500 0.7500 0.7500 Pt
0.5000 0.5000 0.5000 Rh
```

Results
Offset from the most stable computed form, meV/atom: 912
Fermi-level density of states, states/eV per cell: 3.21
Formation energy, eV per atom: 0.52
SG: F-43m (216)

[5]
## BaPrCu (PBE)

Data for a relaxed structure of BaPrCu.

Cell and atoms, written as POSCAR:
```
BaPrCu
1.0
-1.9161 1.9161 6.9368
1.9161 -1.9161 6.9368
1.9161 1.9161 -6.9368
Ba Pr Cu
1 1 1
direct
0.0000 0.0000 0.0000 Ba
0.2583 0.2583 0.0000 Pr
0.6599 0.6599 0.0000 Cu
```

Results
Offset from the most stable computed form, meV/atom: 0
Fermi-level density of states, states/eV per cell: 3.93
Formation energy, eV per atom: 0.04
SG: I4mm (107)

[6]
## NaTmMg14 (PBE)

Data for a relaxed structure of NaTmMg14.

Cell and atoms, written as POSCAR:
```
NaTmMg14
1.0
6.5965 0.0000 0.0000
0.0000 6.5965 0.0000
0.0000 0.0000 8.8757
Na Tm Mg
1 1 14
direct
0.0000 0.0000 0.0000 Na
0.5000 0.5000 0.0000 Tm
0.0000 0.0000 0.5000 Mg
0.0000 0.5000 0.0000 Mg
0.0000 0.5000 0.5000 Mg
0.2514 0.2514 0.2590 Mg
0.2514 0.2514 0.7410 Mg
0.2514 0.7486 0.2590 Mg
0.2514 0.7486 0.7410 Mg
0.5000 0.0000 0.0000 Mg
0.5000 0.0000 0.5000 Mg
0.5000 0.5000 0.5000 Mg
0.7486 0.2514 0.2590 Mg
0.7486 0.2514 0.7410 Mg
0.7486 0.7486 0.2590 Mg
0.7486 0.7486 0.7410 Mg
```

Results
Fermi-level density of states, states/eV per cell: 7.52
Formation energy, eV per atom: 0.01
SG: P4/mmm (123)

[7]
## MgSbPt (PBE)

Data for a relaxed structure of MgSbPt.

Cell and atoms, written as POSCAR:
```
MgSbPt
1.0
3.5367 0.0000 0.0000
-1.7684 3.0629 0.0000
0.0000 0.0000 6.0924
Mg Sb Pt
1 1 1
direct
0.0000 0.0000 0.0000 Mg
0.3333 0.6667 0.5832 Sb
0.6667 0.3333 0.2991 Pt
```

Results
Fermi-level density of states, states/eV per cell: 1.25
Uncorrected formation energy, eV per atom: -0.30
SG: P3m1 (156)

[8]
## Rb3Er3MgTe8 (PBE)

Data for a relaxed structure of Rb3Er3MgTe8.

Cell and atoms, written as POSCAR:
```
Rb3Er3MgTe8
1.0
7.4976 -4.3479 0.0000
7.4976 4.3479 0.0000
-4.9808 0.0000 8.9038
Rb Er Mg Te
3 3 1 8
direct
0.0000 0.0000 0.0000 Rb
0.0000 0.5000 0.0000 Rb
0.5000 0.0000 0.0000 Rb
0.0000 0.5000 0.5000 Er
0.5000 0.0000 0.5000 Er
0.5000 0.5000 0.5000 Er
0.0000 0.0000 0.5000 Mg
0.2323 0.2323 0.6959 Te
0.2330 0.7309 0.6962 Te
0.2666 0.2666 0.3002 Te
0.2691 0.7670 0.3038 Te
0.7309 0.2330 0.6962 Te
0.7334 0.7334 0.6998 Te
0.7670 0.2691 0.3038 Te
0.7677 0.7677 0.3041 Te
```

Results
Fermi-level density of states, states/eV per cell: 12.06
Uncorrected formation energy, eV per atom: -1.11
SG: C2/m (12)

[9]
## YHf2Pt2 (PBE)

Data for a relaxed structure of YHf2Pt2.

Cell and atoms, written as POSCAR:
```
YHf2Pt2
1.0
-2.2821 2.2821 5.4042
2.2821 -2.2821 5.4042
2.2821 2.2821 -5.4042
Y Hf Pt
1 2 2
direct
0.0000 0.0000 0.0000 Y
0.2500 0.7500 0.5000 Hf
0.7500 0.2500 0.5000 Hf
0.3785 0.3785 0.0000 Pt
0.6215 0.6215 0.0000 Pt
```

Results
Offset from the most stable computed form, meV/atom: 0
Fermi-level density of states, states/eV per cell: 3.90
Formation energy, eV per atom: -0.93
SG: I4/mmm (139)

[10]
## ZrPt3Au (PBE)

Data for a relaxed structure of ZrPt3Au.

Cell and atoms, written as POSCAR:
```
ZrPt3Au
1.0
4.8862 0.0000 0.0000
0.0000 4.8862 0.0000
0.0000 0.0000 4.8862
Zr Pt Au
1 3 1
direct
0.0000 0.0000 0.0000 Zr
0.0000 0.5000 0.5000 Pt
0.5000 0.0000 0.5000 Pt
0.5000 0.5000 0.0000 Pt
0.5000 0.5000 0.5000 Au
```

Results
Offset from the most stable computed form, meV/atom: 69
Fermi-level density of states, states/eV per cell: 5.22
Formation energy, eV per atom: 0.95
SG: Pm-3m (221)

[11]
## CsTcCl4 (PBE)

Data for a relaxed structure of CsTcCl4.

Cell and atoms, written as POSCAR:
```
CsTcCl4
1.0
9.2507 -3.6648 0.0000
9.2507 3.6648 0.0000
-1.9594 0.0000 6.0111
Cs Tc Cl
2 2 8
direct
0.1980 0.1980 0.2077 Cs
0.8020 0.8020 0.7923 Cs
0.4258 0.4258 0.1395 Tc
0.5742 0.5742 0.8605 Tc
0.1529 0.6181 0.3241 Cl
0.2760 0.7240 0.0000 Cl
0.3077 0.3077 0.7987 Cl
0.3819 0.8471 0.6759 Cl
0.6181 0.1529 0.3241 Cl
0.6923 0.6923 0.2013 Cl
0.7240 0.2760 0.0000 Cl
0.8471 0.3819 0.6759 Cl
```

Results
Offset from the most stable computed form, meV/atom: 68
Uncorrected formation energy, eV per atom: -1.01
SG: C2/m (12)

[12]
## K2ReHg (PBE)

Data for a relaxed structure of K2ReHg.

Cell and atoms, written as POSCAR:
```
K2ReHg
1.0
2.0368 -2.0689 0.0000
2.0368 2.0689 0.0000
0.0000 0.0000 11.7075
K Re Hg
2 1 1
direct
0.0000 0.0000 0.2361 K
0.0000 0.0000 0.7639 K
0.5000 0.5000 0.0000 Re
0.5000 0.5000 0.5000 Hg
```

Results
Fermi-level density of states, states/eV per cell: 3.60
Formation energy, eV per atom: 0.98
SG: Cmmm (65)

Asked for E across the records above, the calculation gives -19.128 -52.897 -814.134 -21.200 -10.678 -27.886 -12.669 -59.996 -43.120 -25.223 -49.348 -11.034 eV per cell in order.